Record 1
BaCdN3 | PBE | relaxed

As for the energy relative to the elements, uncorrected: 2273.7 meV/atom. The calculation puts the energy at -3.29 eV per atom. The calculation puts the density of states at the Fermi level at 4.63 states/eV/cell.

The structure belongs to space group Pm-3m (No. 221); the cell edges are 4.5774, 4.5774 and 4.5774 Å and the angles 90.00°, 90.00° and 90.00°. The distinct sites, in fractional coordinates, are Ba at (0.0000, 0.0000, 0.0000), Cd at (0.5000, 0.5000, 0.5000) and N at (0.0000, 0.0000, 0.5000).

---

Record 2
Ba7CdN2 | PBE | relaxed

As for the energy relative to the elements, uncorrected: -183.5 meV/atom. The calculation puts the energy at -3.29 eV per atom. The calculation puts the density of states at the Fermi level at 17.36 states/eV/cell.

The structure belongs to space group Cmmm (No. 65); the cell edges are 9.4557, 21.2627 and 4.3496 Å and the angles 90.00°, 90.00° and 90.00°. The distinct sites, in fractional coordinates, are Ba at (0.0000, 0.0000, 0.0000), Ba at (0.0000, 0.2016, 0.5000), Ba at (0.2175, 0.3806, 0.0000), Cd at (0.0000, 0.5000, 0.5000) and N at (0.0000, 0.1284, 0.0000).

---

Record 3
Ba6CdN2 | PBE | relaxed

As for the energy relative to the elements, uncorrected: -262.5 meV/atom. The calculation puts the energy at -3.50 eV per atom. The calculation puts the density of states at the Fermi level at 9.96 states/eV/cell.

The structure belongs to space group C2/m (No. 12); the cell edges are 15.0519, 5.3800 and 10.5138 Å and the angles 90.00°, 106.88° and 90.00°. The distinct sites, in fractional coordinates, are Ba at (0.0642, 0.0000, 0.2044), Ba at (0.1595, 0.5000, 0.6331), Ba at (0.1953, 0.5000, 0.0566), Cd at (0.0000, 0.0000, 0.5000) and N at (0.2167, 0.0000, 0.1419).

---

Record 4
Ba2CdN | PBE | relaxed

As for the energy relative to the elements, uncorrected: -224.0 meV/atom. The calculation puts the offset from the most stable computed form at 82 meV per atom. The calculation puts the energy at -3.50 eV per atom. The calculation puts the density of states at the Fermi level at 6.54 states/eV/cell.

The structure belongs to space group R-3m (No. 166, hexagonal axes); the cell edges are 3.9750, 3.9750 and 31.2326 Å and the angles 90.00°, 90.00° and 120.00°. The distinct sites, in fractional coordinates, are Ba at (0.0000, 0.0000, 0.1181), Cd at (0.0000, 0.0000, 0.0000) and N at (0.0000, 0.0000, 0.5000).

---

Record 5
Ba2CdN | PBE | relaxed

As for the energy relative to the elements, uncorrected: -181.9 meV/atom. The calculation puts the offset from the most stable computed form at 124 meV per atom. The calculation puts the energy at -3.45 eV per atom. The calculation puts the density of states at the Fermi level at 12.83 states/eV/cell.

The structure belongs to space group I-42d (No. 122); the cell edges are 8.0689, 8.0689 and 8.9404 Å and the angles 90.00°, 90.00° and 90.00°. The distinct sites, in fractional coordinates, are Ba at (0.1486, 0.2500, 0.1250), Cd at (0.0000, 0.0000, 0.5000) and N at (0.0000, 0.0000, 0.0000).

---

Record 6
Ba2Cd2N | PBE | relaxed

As for the energy relative to the elements, uncorrected: 161.9 meV/atom. The calculation puts the offset from the most stable computed form at 140 meV per atom. The calculation puts the energy at -2.64 eV per atom. The calculation puts the density of states at the Fermi level at 14.88 states/eV/cell.

The structure belongs to space group P4/mbm (No. 127); the cell edges are 7.4242, 7.4242 and 6.3513 Å and the angles 90.00°, 90.00° and 90.00°. The distinct sites, in fractional coordinates, are Ba at (0.1946, 0.3054, 0.0000), Cd at (0.1408, 0.6408, 0.5000) and N at (0.0000, 0.0000, 0.0000).

---

Record 7
Ba4Cd2N | PBE | relaxed

As for the energy relative to the elements, uncorrected: -239.8 meV/atom. The calculation puts the offset from the most stable computed form at 43 meV per atom. The calculation puts the energy at -2.79 eV per atom. The calculation puts the density of states at the Fermi level at 17.75 states/eV/cell.

The structure belongs to space group I4/mmm (No. 139); the cell edges are 5.6792, 5.6792 and 17.3551 Å and the angles 90.00°, 90.00° and 90.00°. The distinct sites, in fractional coordinates, are Ba at (0.0000, 0.0000, 0.1580), Ba at (0.0000, 0.5000, 0.0000), Cd at (0.0000, 0.0000, 0.3657) and N at (0.0000, 0.0000, 0.0000).

---

Record 8
Ba4Cd2N | PBE | relaxed

As for the energy relative to the elements, uncorrected: -268.6 meV/atom. The calculation puts the offset from the most stable computed form at 14 meV per atom. The calculation puts the energy at -2.82 eV per atom. The calculation puts the density of states at the Fermi level at 25.25 states/eV/cell.

The structure belongs to space group Pnma (No. 62); the cell edges are 10.3218, 8.1982 and 14.6104 Å and the angles 90.00°, 90.00° and 90.00°. The distinct sites, in fractional coordinates, are Ba at (0.0217, 0.2500, 0.0820), Ba at (0.1831, 0.2500, 0.5829), Ba at (0.1894, 0.0049, 0.3464), Cd at (0.0148, 0.2500, 0.8235), Cd at (0.1115, 0.7500, 0.5818) and N at (0.2202, 0.7500, 0.9249).

---

Record 9
Ba3Cd2N | PBE | relaxed

As for the energy relative to the elements, uncorrected: -300.7 meV/atom. The calculation puts the energy at -2.95 eV per atom. The calculation puts the density of states at the Fermi level at 15.28 states/eV/cell.

The structure belongs to space group C2/c (No. 15); the cell edges are 12.0645, 10.0824 and 7.4657 Å and the angles 90.00°, 90.12° and 90.00°. The distinct sites, in fractional coordinates, are Ba at (0.0000, 0.1720, 0.2500), Ba at (0.1478, 0.4991, 0.0000), Cd at (0.1221, 0.1785, 0.7484) and N at (0.0000, 0.4250, 0.2500).

---

Record 10
BaCdN3 | PBE | relaxed

As for the energy relative to the elements, uncorrected: 1255.3 meV/atom. The calculation puts the energy at -4.31 eV per atom. The calculation puts the density of states at the Fermi level at 2.34 states/eV/cell.

The structure belongs to space group Pm-3m (No. 221); the cell edges are 4.3775, 4.3775 and 4.3775 Å and the angles 90.00°, 90.00° and 90.00°. The distinct sites, in fractional coordinates, are Ba at (0.0000, 0.0000, 0.0000), Cd at (0.5000, 0.5000, 0.5000) and N at (0.0000, 0.5000, 0.5000).

---

Record 11
Ba2CdN | PBE | relaxed

As for the energy relative to the elements, uncorrected: -223.9 meV/atom. The calculation puts the offset from the most stable computed form at 82 meV per atom. The calculation puts the energy at -3.50 eV per atom. The calculation puts the density of states at the Fermi level at 12.98 states/eV/cell.

The structure belongs to space group Ima2 (No. 46); the cell edges are 5.6263, 11.4948 and 8.5803 Å and the angles 90.00°, 90.00° and 90.00°. The distinct sites, in fractional coordinates, are Ba at (0.2500, 0.0930, 0.0000), Ba at (0.2500, 0.7002, 0.8342), Cd at (0.2500, 0.0565, 0.5776) and N at (0.2500, 0.6266, 0.5442).

---

Record 12
Ba3CdN | PBE | relaxed

As for the energy relative to the elements, uncorrected: -287.9 meV/atom. The calculation puts the offset from the most stable computed form at 0 meV per atom. The calculation puts the energy at -3.29 eV per atom. The calculation puts the density of states at the Fermi level at 7.14 states/eV/cell.

The structure belongs to space group P-1 (No. 2); the cell edges are 5.3366, 6.3642 and 11.9582 Å and the angles 104.67°, 102.88° and 90.02°. The distinct sites, in fractional coordinates, are Ba at (0.0641, 0.3363, 0.1266), Ba at (0.1650, 0.9601, 0.3310), Ba at (0.3040, 0.5243, 0.6080), Cd at (0.4500, 0.1397, 0.8981) and N at (0.1759, 0.3648, 0.3521).

---

Record 13
Ba3CdN | PBE | relaxed

As for the energy relative to the elements, uncorrected: 1038.7 meV/atom. The calculation puts the offset from the most stable computed form at 1327 meV per atom. The calculation puts the energy at -1.96 eV per atom. The calculation puts the density of states at the Fermi level at 10.32 states/eV/cell.

The structure belongs to space group Pm-3m (No. 221); the cell edges are 6.4147, 6.4147 and 6.4147 Å and the angles 90.00°, 90.00° and 90.00°. The distinct sites, in fractional coordinates, are Ba at (0.0000, 0.0000, 0.5000), Cd at (0.0000, 0.0000, 0.0000) and N at (0.5000, 0.5000, 0.5000).

---

Record 14
Ba2CdN | PBE | relaxed

As for the energy relative to the elements, uncorrected: -305.9 meV/atom. The calculation puts the offset from the most stable computed form at 0 meV per atom. The calculation puts the energy at -3.58 eV per atom. The calculation puts the density of states at the Fermi level at 7.61 states/eV/cell.

The structure belongs to space group R3m (No. 160, hexagonal axes); the cell edges are 4.0123, 4.0123 and 28.1653 Å and the angles 90.00°, 90.00° and 120.00°. The distinct sites, in fractional coordinates, are Ba at (0.0000, 0.0000, 0.0000), Ba at (0.0000, 0.0000, 0.2248), Cd at (0.0000, 0.0000, 0.7788) and N at (0.0000, 0.0000, 0.6128).

---

Record 15
Ba6Na2CdN | PBE | relaxed

As for the energy relative to the elements, uncorrected: -101.1 meV/atom. The calculation puts the energy at -2.44 eV per atom. The calculation puts the density of states at the Fermi level at 16.57 states/eV/cell.

The structure belongs to space group I4 (No. 79); the cell edges are 8.6784, 8.6784 and 13.3626 Å and the angles 90.00°, 90.00° and 90.00°. The distinct sites, in fractional coordinates, are Ba at (0.0000, 0.0000, 0.0000), Ba at (0.0000, 0.0000, 0.4861), Ba at (0.2203, 0.2195, 0.2533), Na at (0.0000, 0.5000, 0.0062), Cd at (0.0000, 0.0000, 0.7493) and N at (0.0000, 0.0000, 0.2927).

---

Record 16
Ba2NbCdN | PBE | relaxed

As for the energy relative to the elements, uncorrected: 1437.9 meV/atom. The calculation puts the energy at -3.19 eV per atom. The calculation puts the density of states at the Fermi level at 5.26 states/eV/cell.

The structure belongs to space group P4/mmm (No. 123); the cell edges are 5.9447, 5.9447 and 5.3268 Å and the angles 90.00°, 90.00° and 90.00°. The distinct sites, in fractional coordinates, are Ba at (0.0000, 0.5000, 0.0000), Nb at (0.0000, 0.0000, 0.0000), Cd at (0.0000, 0.0000, 0.5000) and N at (0.5000, 0.5000, 0.5000).

---

Record 17
BaNbCdN2 | PBE | relaxed

As for the energy relative to the elements, uncorrected: 163.8 meV/atom. The calculation puts the energy at -5.75 eV per atom. The calculation puts the density of states at the Fermi level at 3.15 states/eV/cell.

The structure belongs to space group P4/mmm (No. 123); the cell edges are 4.3202, 4.3202 and 5.3259 Å and the angles 90.00°, 90.00° and 90.00°. The distinct sites, in fractional coordinates, are Ba at (0.0000, 0.0000, 0.0000), Nb at (0.5000, 0.5000, 0.5000), Cd at (0.5000, 0.5000, 0.0000) and N at (0.0000, 0.5000, 0.5000).

---

Record 18
BaCd2NO | PBE | relaxed

As for the energy relative to the elements, uncorrected: -154.3 meV/atom. The calculation puts the energy at -3.56 eV per atom. The calculation puts the density of states at the Fermi level at 1.57 states/eV/cell.

The structure belongs to space group P4/mmm (No. 123); the cell edges are 4.1755, 4.1755 and 8.5905 Å and the angles 90.00°, 90.00° and 90.00°. The distinct sites, in fractional coordinates, are Ba at (0.0000, 0.0000, 0.0000), Cd at (0.0000, 0.5000, 0.5000), N at (0.5000, 0.5000, 0.5000) and O at (0.5000, 0.5000, 0.0000).

---

Record 19
BaCdNO2 | PBE | relaxed

As for the energy relative to the elements, uncorrected: -419.7 meV/atom. The calculation puts the energy at -4.64 eV per atom. The calculation puts the density of states at the Fermi level at 1.91 states/eV/cell.

The structure belongs to space group P4/mmm (No. 123); the cell edges are 4.4371, 4.4371 and 4.2297 Å and the angles 90.00°, 90.00° and 90.00°. The distinct sites, in fractional coordinates, are Ba at (0.0000, 0.0000, 0.0000), Cd at (0.5000, 0.5000, 0.5000), N at (0.5000, 0.5000, 0.0000) and O at (0.0000, 0.5000, 0.5000).

---

Record 20
Ba6Cd2NO | PBE | relaxed

As for the energy relative to the elements, uncorrected: -705.7 meV/atom. The calculation puts the energy at -3.37 eV per atom. The calculation puts the density of states at the Fermi level at 15.11 states/eV/cell.

The structure belongs to space group I4 (No. 79); the cell edges are 7.7266, 7.7266 and 12.2018 Å and the angles 90.00°, 90.00° and 90.00°. The distinct sites, in fractional coordinates, are Ba at (0.0000, 0.0000, 0.0000), Ba at (0.0000, 0.0000, 0.4901), Ba at (0.2486, 0.2496, 0.2347), Cd at (0.0000, 0.5000, 0.4830), N at (0.0000, 0.0000, 0.2076) and O at (0.0000, 0.0000, 0.6972).